Computed, not measured: a relaxed AgAu2CS crystal at the PBE level of DFT.

a b c (Å): 4.778 4.778 4.871
angles (deg): 90.00 90.00 90.00
Sites, in units of the cell vectors:
Ag: 0.000 0.000 0.000
Au: 0.000 0.500 0.500
Au: 0.500 0.000 0.500
C: 0.500 0.500 0.000
S: 0.000 0.000 0.500

The value obtained for the density is 8.2 g cm⁻³. The space group is P4/mmm, No. 123. As for the volume: 111.2 Å³/cell. As for the formation energy without anion corrections: 37.7 kcal/mol of atoms.



Computed, not measured: a relaxed MgZrNiAg crystal at the PBE level of DFT.

a b c (Å): 4.624 4.624 4.624
angles (deg): 60.00 60.00 60.00
Sites, in units of the cell vectors:
Mg: 0.000 0.000 0.000
Zr: 0.500 0.500 0.500
Ni: 0.250 0.250 0.250
Ag: 0.750 0.750 0.750

The value obtained for the density is 6.7 g cm⁻³. The formation energy is -165 meV/atom. The space group is F-43m, No. 216. As for the volume: 69.9 Å³/cell.



Computed, not measured: a relaxed Tm4InHgO crystal at the PBE level of DFT.

a b c (Å): 8.531 8.531 6.481
angles (deg): 90.00 90.00 135.38
Sites, in units of the cell vectors:
Tm: 0.000 0.500 0.000
Tm: 0.000 0.500 0.500
Tm: 0.071 0.929 0.750
Tm: 0.418 0.582 0.750
Tm: 0.500 0.000 0.000
Tm: 0.500 0.000 0.500
Tm: 0.582 0.418 0.250
Tm: 0.929 0.071 0.250
In: 0.388 0.612 0.250
In: 0.612 0.388 0.750
Hg: 0.117 0.883 0.250
Hg: 0.883 0.117 0.750
O: 0.255 0.745 0.750
O: 0.745 0.255 0.250

The value obtained for the density is 10.1 g cm⁻³. The space group is Cmcm, No. 63. As for the volume: 331.3 Å³/cell. As for the formation energy without anion corrections: -25.1 kcal/mol of atoms.



Computed, not measured: a relaxed SrIn2Pt crystal at the PBE level of DFT.

a b c (Å): 4.730 4.730 6.222
angles (deg): 112.39 112.39 59.94
Sites, in units of the cell vectors:
Sr: 0.000 0.000 0.000
In: 0.208 0.208 0.626
In: 0.452 0.452 0.359
Pt: 0.812 0.812 0.439

The value obtained for the density is 7.9 g cm⁻³. The formation energy is -576 meV/atom. The space group is Cm, No. 8. As for the volume: 108.2 Å³/cell.



Computed, not measured: a relaxed BSb2PbI crystal at the PBE level of DFT.

a b c (Å): 5.896 5.896 6.234
angles (deg): 90.00 90.00 90.00
Sites, in units of the cell vectors:
B: 0.000 0.000 0.000
Sb: 0.000 0.500 0.500
Sb: 0.500 0.000 0.500
Pb: 0.500 0.500 0.500
I: 0.500 0.500 0.000

The value obtained for the density is 4.5 g cm⁻³. The space group is P4/mmm, No. 123. Its energy relative to the lowest polymorph listed for this composition is 931.2 meV per atom. As for the volume: 216.7 Å³/cell. As for the formation energy without anion corrections: 37.3 kcal/mol of atoms.



Computed, not measured: a relaxed Ac3Si2PPt9 crystal at the PBE level of DFT.

a b c (Å): 6.645 6.645 8.283
angles (deg): 90.00 90.00 120.00
Sites, in units of the cell vectors:
Ac: 0.000 0.000 0.000
Ac: 0.333 0.667 0.661
Ac: 0.667 0.333 0.339
Si: 0.333 0.667 0.191
Si: 0.667 0.333 0.809
P: 0.000 0.000 0.500
Pt: 0.000 0.500 0.000
Pt: 0.146 0.293 0.300
Pt: 0.146 0.854 0.300
Pt: 0.293 0.146 0.700
Pt: 0.500 0.000 0.000
Pt: 0.500 0.500 0.000
Pt: 0.707 0.854 0.300
Pt: 0.854 0.146 0.700
Pt: 0.854 0.707 0.700

The value obtained for the density is 13.2 g cm⁻³. The space group is P-3m1, No. 164. As for the volume: 316.7 Å³/cell. As for the formation energy without anion corrections: -19.6 kcal/mol of atoms.



Computed, not measured: a relaxed ZnRe3 crystal at the PBE level of DFT.

a b c (Å): 4.499 5.468 4.757
angles (deg): 90.00 90.00 90.00
Sites, in units of the cell vectors:
Zn: 0.250 0.250 0.166
Zn: 0.750 0.750 0.834
Re: 0.250 0.504 0.673
Re: 0.250 0.750 0.163
Re: 0.250 0.996 0.673
Re: 0.750 0.004 0.327
Re: 0.750 0.250 0.837
Re: 0.750 0.496 0.327

The value obtained for the density is 17.7 g cm⁻³. The formation energy is 179 meV/atom. The space group is Pmmn, No. 59. As for the volume: 117.0 Å³/cell.



Computed, not measured: a relaxed CaTa2Fe crystal at the PBE level of DFT.

a b c (Å): 5.852 5.852 2.797
angles (deg): 100.03 100.03 122.69
Sites, in units of the cell vectors:
Ca: 0.000 0.000 0.000
Ta: 0.000 0.500 0.500
Ta: 0.500 0.000 0.500
Fe: 0.500 0.500 0.000

The value obtained for the density is 10.1 g cm⁻³. The formation energy is 700 meV/atom. The space group is C2/m, No. 12. Its energy relative to the lowest polymorph listed for this composition is 395.0 meV per atom. As for the volume: 75.1 Å³/cell.



Computed, not measured: a relaxed TbPr6Pb10 crystal at the PBE level of DFT.

a b c (Å): 9.643 9.643 6.618
angles (deg): 90.00 90.00 120.00
Sites, in units of the cell vectors:
Tb: 0.000 0.000 0.000
Pr: 0.000 0.388 0.765
Pr: 0.000 0.612 0.235
Pr: 0.388 0.000 0.765
Pr: 0.388 0.388 0.235
Pr: 0.612 0.000 0.235
Pr: 0.612 0.612 0.765
Pb: 0.000 0.258 0.299
Pb: 0.000 0.742 0.701
Pb: 0.258 0.000 0.299
Pb: 0.258 0.258 0.701
Pb: 0.333 0.667 0.000
Pb: 0.333 0.667 0.500
Pb: 0.667 0.333 0.000
Pb: 0.667 0.333 0.500
Pb: 0.742 0.000 0.701
Pb: 0.742 0.742 0.299

The value obtained for the density is 9.6 g cm⁻³. The formation energy is -415 meV/atom. The space group is P-31m, No. 162. As for the volume: 532.9 Å³/cell.



Computed, not measured: a relaxed Nb7V2W2 crystal at the PBE level of DFT.

a b c (Å): 5.335 5.335 7.730
angles (deg): 90.25 90.25 116.12
Sites, in units of the cell vectors:
Nb: 0.000 0.000 0.000
Nb: 0.121 0.586 0.172
Nb: 0.336 0.336 0.671
Nb: 0.414 0.879 0.828
Nb: 0.586 0.121 0.172
Nb: 0.664 0.664 0.329
Nb: 0.879 0.414 0.828
V: 0.242 0.758 0.500
V: 0.758 0.242 0.500
W: 0.160 0.160 0.341
W: 0.840 0.840 0.659

The value obtained for the density is 9.4 g cm⁻³. The formation energy is 216 meV/atom. The space group is C2/m, No. 12. As for the volume: 197.5 Å³/cell.



Computed, not measured: a relaxed Ni2TeI crystal at the PBE level of DFT.

a b c (Å): 3.850 7.362 7.079
angles (deg): 90.00 90.00 90.00
Sites, in units of the cell vectors:
Ni: 0.250 0.082 0.099
Ni: 0.250 0.418 0.099
Ni: 0.750 0.582 0.901
Ni: 0.750 0.918 0.901
Te: 0.250 0.750 0.071
Te: 0.750 0.250 0.929
I: 0.250 0.250 0.410
I: 0.750 0.750 0.590

The value obtained for the density is 6.2 g cm⁻³. The space group is Pmmn, No. 59. Its energy relative to the lowest polymorph listed for this composition is 0.0 meV per atom. As for the volume: 200.6 Å³/cell. As for the formation energy without anion corrections: -1.1 kcal/mol of atoms.



Computed, not measured: a relaxed Y2TeAs crystal at the PBE level of DFT.

a b c (Å): 7.695 7.695 7.695
angles (deg): 31.29 31.29 31.29
Sites, in units of the cell vectors:
Y: 0.000 0.000 0.000
Y: 0.189 0.189 0.189
Te: 0.762 0.762 0.762
As: 0.593 0.593 0.593

The value obtained for the density is 5.8 g cm⁻³. The space group is R3m, No. 160. Its energy relative to the lowest polymorph listed for this composition is 31.1 meV per atom. As for the volume: 109.1 Å³/cell. As for the formation energy without anion corrections: -34.2 kcal/mol of atoms.



Computed, not measured: a relaxed YCu2 crystal at the PBE level of DFT.

a b c (Å): 5.296 5.296 17.037
angles (deg): 90.00 90.00 120.00
Sites, in units of the cell vectors:
Y: 0.000 0.000 0.098
Y: 0.000 0.000 0.402
Y: 0.000 0.000 0.598
Y: 0.000 0.000 0.902
Y: 0.333 0.667 0.156
Y: 0.333 0.667 0.344
Y: 0.667 0.333 0.656
Y: 0.667 0.333 0.844
Cu: 0.000 0.500 0.000
Cu: 0.000 0.500 0.500
Cu: 0.169 0.339 0.750
Cu: 0.169 0.831 0.750
Cu: 0.333 0.667 0.623
Cu: 0.333 0.667 0.877
Cu: 0.339 0.169 0.250
Cu: 0.500 0.000 0.000
Cu: 0.500 0.000 0.500
Cu: 0.500 0.500 0.000
Cu: 0.500 0.500 0.500
Cu: 0.661 0.831 0.750
Cu: 0.667 0.333 0.123
Cu: 0.667 0.333 0.377
Cu: 0.831 0.169 0.250
Cu: 0.831 0.661 0.250

The value obtained for the density is 6.9 g cm⁻³. The formation energy is -174 meV/atom. The space group is P6_3/mmc, No. 194. As for the volume: 413.8 Å³/cell.



Computed, not measured: a relaxed Li2LaMg2 crystal at the PBE level of DFT.

a b c (Å): 8.628 8.628 3.298
angles (deg): 90.00 90.00 90.00
Sites, in units of the cell vectors:
Li: 0.119 0.381 0.000
Li: 0.381 0.881 0.000
Li: 0.619 0.119 0.000
Li: 0.881 0.619 0.000
La: 0.000 0.000 0.000
La: 0.500 0.500 0.000
Mg: 0.176 0.676 0.500
Mg: 0.324 0.176 0.500
Mg: 0.676 0.824 0.500
Mg: 0.824 0.324 0.500

The value obtained for the density is 2.7 g cm⁻³. The formation energy is -23 meV/atom. The space group is P4/mbm, No. 127. Its energy relative to the lowest polymorph listed for this composition is 19.7 meV per atom. As for the volume: 245.5 Å³/cell.



Computed, not measured: a relaxed YTaTc2 crystal at the PBE level of DFT.

a b c (Å): 4.639 4.639 4.639
angles (deg): 60.00 60.00 60.00
Sites, in units of the cell vectors:
Y: 0.000 0.000 0.000
Ta: 0.250 0.250 0.250
Tc: 0.500 0.500 0.500
Tc: 0.750 0.750 0.750

The value obtained for the density is 11.0 g cm⁻³. The formation energy is 242 meV/atom. The space group is F-43m, No. 216. As for the volume: 70.6 Å³/cell.



Computed, not measured: a relaxed Ta2Mo3 crystal at the PBE level of DFT.

a b c (Å): 5.337 5.337 7.156
angles (deg): 131.91 131.91 34.95
Sites, in units of the cell vectors:
Ta: 0.095 0.095 0.293
Ta: 0.905 0.905 0.707
Mo: 0.294 0.294 0.895
Mo: 0.500 0.500 0.500
Mo: 0.706 0.706 0.105

The value obtained for the density is 12.9 g cm⁻³. The formation energy is -162 meV/atom. The space group is C2/m, No. 12. Its energy relative to the lowest polymorph listed for this composition is 33.6 meV per atom. As for the volume: 83.4 Å³/cell.



Computed, not measured: a relaxed ZnSiHg2 crystal at the PBE level of DFT.

a b c (Å): 7.920 7.920 7.920
angles (deg): 26.06 26.06 26.06
Sites, in units of the cell vectors:
Zn: 0.000 0.000 0.000
Si: 0.500 0.500 0.500
Hg: 0.249 0.249 0.249
Hg: 0.751 0.751 0.751

The value obtained for the density is 9.7 g cm⁻³. The space group is R-3m, No. 166. Its energy relative to the lowest polymorph listed for this composition is 102.5 meV per atom. As for the volume: 84.5 Å³/cell. As for the formation energy without anion corrections: 7.8 kcal/mol of atoms.



Computed, not measured: a relaxed Zn2CdTe crystal at the PBE level of DFT.

a b c (Å): 6.751 6.751 6.751
angles (deg): 118.34 118.34 92.89
Sites, in units of the cell vectors:
Zn: 0.121 0.625 0.996
Zn: 0.375 0.371 0.496
Zn: 0.629 0.125 0.004
Zn: 0.875 0.879 0.504
Cd: 0.250 0.750 0.500
Cd: 0.500 0.500 0.000
Te: 0.000 0.000 0.000
Te: 0.750 0.250 0.500

The value obtained for the density is 5.5 g cm⁻³. The space group is I-42d, No. 122. Its energy relative to the lowest polymorph listed for this composition is 52.0 meV per atom. As for the volume: 222.7 Å³/cell. As for the formation energy without anion corrections: 1.5 kcal/mol of atoms.



Computed, not measured: a relaxed YMnIn crystal at the PBE level of DFT.

a b c (Å): 4.949 4.949 4.949
angles (deg): 60.00 60.00 60.00
Sites, in units of the cell vectors:
Y: 0.000 0.000 0.000
Mn: 0.750 0.750 0.750
In: 0.250 0.250 0.250

The value obtained for the density is 5.0 g cm⁻³. The formation energy is 590 meV/atom. The space group is F-43m, No. 216. As for the volume: 85.7 Å³/cell.



Computed, not measured: a relaxed Ce4C2Cl3 crystal at the PBE level of DFT.

a b c (Å): 7.276 7.276 8.543
angles (deg): 101.08 101.08 28.34
Sites, in units of the cell vectors:
Ce: 0.090 0.090 0.205
Ce: 0.324 0.324 0.392
Ce: 0.676 0.676 0.608
Ce: 0.910 0.910 0.795
C: 0.306 0.306 0.664
C: 0.694 0.694 0.336
Cl: 0.000 0.000 0.500
Cl: 0.407 0.407 0.092
Cl: 0.593 0.593 0.908

The value obtained for the density is 5.5 g cm⁻³. The space group is C2/m, No. 12. Its energy relative to the lowest polymorph listed for this composition is 116.1 meV per atom. As for the volume: 210.4 Å³/cell. As for the formation energy without anion corrections: -24.4 kcal/mol of atoms.